1.
PaNiS2O8: relaxed, GGA+U.

As for the space group: P-3m1 (164). The calculation puts the electronic total energy at -6.38 eV/atom. The value obtained for the mass density is 4.82 g/cm³.

Cell lengths 5.1885, 5.1885, 7.1171 Å; angles 90.00, 90.00, 120.00 degrees
With the nearest neighbours (Å) after each atom.
Fractional positions:
Pa  0.0000  0.0000  0.0000  6 O 2.56
Ni  0.0000  0.0000  0.5000  6 O 2.21
S  0.3333  0.6667  0.2185  4 O 1.49-1.51
S  0.6667  0.3333  0.7815  4 O 1.49-1.51
O  0.1757  0.3514  0.2837  1 S 1.49
O  0.1757  0.8243  0.2837  1 S 1.49
O  0.3333  0.6667  0.0061  1 S 1.51
O  0.3514  0.1757  0.7163  1 S 1.49
O  0.6486  0.8243  0.2837  1 S 1.49
O  0.6667  0.3333  0.9939  1 S 1.51
O  0.8243  0.1757  0.7163  1 S 1.49
O  0.8243  0.6486  0.7163  1 S 1.49

2.
ScPaNi2O6: relaxed, GGA+U.

As for the space group: P2_1/c (14). The calculation puts the electronic total energy at -7.51 eV/atom. The value obtained for the mass density is 6.74 g/cm³.

Cell lengths 5.3984, 5.6115, 9.5250 Å; angles 90.00, 123.37, 90.00 degrees
With the nearest neighbours (Å) after each atom.
Fractional positions:
Sc  0.0000  0.0000  0.0000  6 O 2.08-2.20
Sc  0.0000  0.5000  0.5000  6 O 2.08-2.20
Pa  0.5000  0.0000  0.5000  6 O 2.12-2.31
Pa  0.5000  0.5000  0.0000  6 O 2.12-2.31
Ni  0.2686  0.0341  0.7825  4 O 2.00-2.16
Ni  0.2686  0.4659  0.2825  4 O 2.00-2.16
Ni  0.7314  0.5341  0.7175  4 O 2.00-2.16
Ni  0.7314  0.9659  0.2175  4 O 2.00-2.16
O  0.0974  0.1066  0.2384  2 Ni 2.03-2.16, 1 Sc 2.12
O  0.0974  0.3934  0.7384  2 Ni 2.03-2.16, 1 Sc 2.12
O  0.2670  0.6739  0.0989  1 Ni 2.10, 1 Pa 2.17, 1 Sc 2.20
O  0.2670  0.8261  0.5989  1 Ni 2.10, 1 Pa 2.17, 1 Sc 2.20
O  0.3858  0.1618  0.0483  1 Ni 2.00, 1 Sc 2.08, 1 Pa 2.12
O  0.3858  0.3382  0.5483  1 Ni 2.00, 1 Sc 2.08, 1 Pa 2.12
O  0.6142  0.6618  0.4517  1 Ni 2.00, 1 Sc 2.08, 1 Pa 2.12
O  0.6142  0.8382  0.9517  1 Ni 2.00, 1 Sc 2.08, 1 Pa 2.12
O  0.7330  0.1739  0.4011  1 Ni 2.10, 1 Pa 2.17, 1 Sc 2.20
O  0.7330  0.3261  0.9011  1 Ni 2.10, 1 Pa 2.17, 1 Sc 2.20
O  0.9026  0.6066  0.2616  2 Ni 2.03-2.16, 1 Sc 2.12
O  0.9026  0.8934  0.7616  2 Ni 2.03-2.16, 1 Sc 2.12

3.
ScPaNiO6: relaxed, GGA+U.

As for the space group: P312 (149). The calculation puts the electronic total energy at -7.79 eV/atom. The value obtained for the mass density is 6.64 g/cm³.

Cell lengths 5.0947, 5.0947, 4.7947 Å; angles 90.00, 90.00, 120.00 degrees
With the nearest neighbours (Å) after each atom.
Fractional positions:
Sc  0.0000  0.0000  0.0000  6 O 2.09
Pa  0.3333  0.6667  0.5000  6 O 2.19
Ni  0.6667  0.3333  0.0000  6 O 1.90
O  0.3621  0.0272  0.2290  1 Ni 1.90, 1 Sc 2.09
O  0.3621  0.3349  0.7710  1 Ni 1.90, 1 Sc 2.09
O  0.6651  0.0272  0.7710  1 Ni 1.90, 1 Sc 2.09
O  0.6651  0.6379  0.2290  1 Ni 1.90, 1 Sc 2.09
O  0.9728  0.3349  0.2290  1 Ni 1.90, 1 Sc 2.09
O  0.9728  0.6379  0.7710  1 Ni 1.90, 1 Sc 2.09

4.
PaSiNi2O6: relaxed, GGA+U.

As for the space group: P4mm (99). The calculation puts the electronic total energy at -6.88 eV/atom. The value obtained for the mass density is 5.97 g/cm³.

Cell lengths 5.5042, 5.5042, 4.3416 Å; angles 90.00, 90.00, 90.00 degrees
With the nearest neighbours (Å) after each atom.
Fractional positions:
Pa  0.0000  0.0000  0.0000  6 O 2.07-2.27
Si  0.5000  0.5000  0.9807  1 O 1.61
Ni  0.0000  0.5000  0.2809  4 O 2.12
Ni  0.5000  0.0000  0.2809  4 O 2.12
O  0.0000  0.0000  0.5222  2 Pa 2.07-2.27
O  0.2770  0.2770  0.0952  1 Si 1.81
O  0.2770  0.7230  0.0952  1 Si 1.81
O  0.5000  0.5000  0.6110  1 Si 1.61
O  0.7230  0.2770  0.0952  1 Si 1.81
O  0.7230  0.7230  0.0952  1 Si 1.81

5.
PaSi2NiO8: relaxed, GGA+U.

As for the space group: P-3m1 (164). The calculation puts the electronic total energy at -7.55 eV/atom. The value obtained for the mass density is 5.15 g/cm³.

Cell lengths 5.3250, 5.3250, 6.2196 Å; angles 90.00, 90.00, 120.00 degrees
With the nearest neighbours (Å) after each atom.
Fractional positions:
Pa  0.0000  0.0000  0.0000  6 O 2.27
Si  0.3333  0.6667  0.2079  4 O 1.63-1.64
Si  0.6667  0.3333  0.7921  4 O 1.63-1.64
Ni  0.0000  0.0000  0.5000  6 O 2.04
O  0.1619  0.3237  0.2758  1 Si 1.64
O  0.1619  0.8381  0.2758  1 Si 1.64
O  0.3237  0.1619  0.7242  1 Si 1.64
O  0.3333  0.6667  0.9456  1 Si 1.63
O  0.6667  0.3333  0.0544  1 Si 1.63
O  0.6763  0.8381  0.2758  1 Si 1.64
O  0.8381  0.1619  0.7242  1 Si 1.64
O  0.8381  0.6763  0.7242  1 Si 1.64

6.
SmPaNiO6: relaxed, GGA+U.

As for the space group: P312 (149). The calculation puts the electronic total energy at -7.47 eV/atom. The value obtained for the mass density is 7.19 g/cm³.

Cell lengths 5.4430, 5.4430, 4.8254 Å; angles 90.00, 90.00, 120.00 degrees
With the nearest neighbours (Å) after each atom.
Fractional positions:
Sm  0.0000  0.0000  0.0000  6 O 2.31
Pa  0.6667  0.3333  0.5000  6 O 2.19
Ni  0.3333  0.6667  0.0000  6 O 2.03
O  0.0135  0.3747  0.2391  1 Ni 2.03, 1 Pa 2.19
O  0.0135  0.6389  0.7609  1 Ni 2.03, 1 Pa 2.19
O  0.3611  0.3747  0.7609  1 Ni 2.03, 1 Pa 2.19
O  0.3611  0.9865  0.2391  1 Ni 2.03, 1 Pa 2.19
O  0.6253  0.6389  0.2391  1 Ni 2.03, 1 Pa 2.19
O  0.6253  0.9865  0.7609  1 Ni 2.03, 1 Pa 2.19

7.
PaNiSn2O8: relaxed, GGA+U.

As for the space group: P2/m (10). The calculation puts the electronic total energy at -6.91 eV/atom. The value obtained for the mass density is 6.89 g/cm³.

Cell lengths 4.9581, 6.4163, 4.9639 Å; angles 90.00, 91.39, 90.00 degrees
With the nearest neighbours (Å) after each atom.
Fractional positions:
Pa  0.0000  0.0000  0.0000  6 O 2.14-2.24
Ni  0.0000  0.5000  0.0000  6 O 2.08-2.15
Sn  0.5000  0.2593  0.5000  6 O 2.09-2.12
Sn  0.5000  0.7407  0.5000  6 O 2.09-2.12
O  0.1987  0.2565  0.1965  1 Ni 2.08, 1 Sn 2.10, 1 Pa 2.14
O  0.1987  0.7435  0.1965  1 Ni 2.08, 1 Sn 2.10, 1 Pa 2.14
O  0.3016  0.5000  0.6963  2 Sn 2.09, 1 Ni 2.15
O  0.3144  0.0000  0.6832  2 Sn 2.12, 1 Pa 2.24
O  0.6856  0.0000  0.3168  2 Sn 2.12, 1 Pa 2.24
O  0.6984  0.5000  0.3037  2 Sn 2.09, 1 Ni 2.15
O  0.8013  0.2565  0.8035  1 Ni 2.08, 1 Sn 2.10, 1 Pa 2.14
O  0.8013  0.7435  0.8035  1 Ni 2.08, 1 Sn 2.10, 1 Pa 2.14

8.
PaNiSnO6: relaxed, GGA+U.

As for the space group: P312 (149). The calculation puts the electronic total energy at -7.14 eV/atom. The value obtained for the mass density is 7.37 g/cm³.

Cell lengths 5.2163, 5.2163, 4.8235 Å; angles 90.00, 90.00, 120.00 degrees
With the nearest neighbours (Å) after each atom.
Fractional positions:
Pa  0.0000  0.0000  0.0000  6 O 2.21
Ni  0.3333  0.6667  0.5000  6 O 2.01
Sn  0.6667  0.3333  0.5000  6 O 2.08
O  0.0102  0.3481  0.7324  1 Ni 2.01, 1 Sn 2.08, 1 Pa 2.21
O  0.0102  0.6621  0.2676  1 Ni 2.01, 1 Sn 2.08, 1 Pa 2.21
O  0.3379  0.3481  0.2676  1 Ni 2.01, 1 Sn 2.08, 1 Pa 2.21
O  0.3379  0.9898  0.7324  1 Ni 2.01, 1 Sn 2.08, 1 Pa 2.21
O  0.6519  0.6621  0.7324  1 Ni 2.01, 1 Sn 2.08, 1 Pa 2.21
O  0.6519  0.9898  0.2676  1 Ni 2.01, 1 Sn 2.08, 1 Pa 2.21

9.
Sr3PaNi2O9: relaxed, GGA+U.

As for the space group: P-3m1 (164). The calculation puts the electronic total energy at -6.52 eV/atom. The value obtained for the mass density is 6.28 g/cm³.

Cell lengths 5.6589, 5.6589, 7.1979 Å; angles 90.00, 90.00, 120.00 degrees
With the nearest neighbours (Å) after each atom.
Fractional positions:
Sr  0.0000  0.0000  0.0000  12 O 2.83-2.84
Sr  0.3333  0.6667  0.7214  9 O 2.59-2.84
Sr  0.6667  0.3333  0.2786  9 O 2.59-2.84
Pa  0.0000  0.0000  0.5000  6 O 2.12
Ni  0.3333  0.6667  0.1614  6 O 1.95-2.00
Ni  0.6667  0.3333  0.8386  6 O 1.95-2.00
O  0.0000  0.5000  0.0000  2 Ni 2.00
O  0.1707  0.3413  0.3181  1 Ni 1.95, 1 Pa 2.12
O  0.1707  0.8293  0.3181  1 Ni 1.95, 1 Pa 2.12
O  0.3413  0.1707  0.6819  1 Ni 1.95, 1 Pa 2.12
O  0.5000  0.0000  0.0000  2 Ni 2.00
O  0.5000  0.5000  0.0000  2 Ni 2.00
O  0.6587  0.8293  0.3181  1 Ni 1.95, 1 Pa 2.12
O  0.8293  0.1707  0.6819  1 Ni 1.95, 1 Pa 2.12
O  0.8293  0.6587  0.6819  1 Ni 1.95, 1 Pa 2.12

10.
SrPaNiO6: relaxed, GGA+U.

As for the space group: P312 (149). The calculation puts the electronic total energy at -6.75 eV/atom. The value obtained for the mass density is 6.13 g/cm³.

Cell lengths 5.5463, 5.5463, 4.8154 Å; angles 90.00, 90.00, 120.00 degrees
With the nearest neighbours (Å) after each atom.
Fractional positions:
Sr  0.0000  0.0000  0.0000  6 O 2.48
Pa  0.6667  0.3333  0.5000  6 O 2.16
Ni  0.3333  0.6667  0.0000  6 O 2.02
O  0.0125  0.4005  0.2410  1 Ni 2.02, 1 Pa 2.16
O  0.0125  0.6120  0.7590  1 Ni 2.02, 1 Pa 2.16
O  0.3880  0.4005  0.7590  1 Ni 2.02, 1 Pa 2.16
O  0.3880  0.9875  0.2410  1 Ni 2.02, 1 Pa 2.16
O  0.5995  0.6120  0.2410  1 Ni 2.02, 1 Pa 2.16
O  0.5995  0.9875  0.7590  1 Ni 2.02, 1 Pa 2.16

11.
TbPaNiO6: relaxed, GGA+U.

As for the space group: P312 (149). The calculation puts the electronic total energy at -7.50 eV/atom. The value obtained for the mass density is 7.49 g/cm³.

Cell lengths 5.3824, 5.3824, 4.8124 Å; angles 90.00, 90.00, 120.00 degrees
With the nearest neighbours (Å) after each atom.
Fractional positions:
Tb  0.0000  0.0000  0.0000  6 O 2.26
Pa  0.6667  0.3333  0.5000  6 O 2.18
Ni  0.3333  0.6667  0.0000  6 O 2.02
O  0.0140  0.3692  0.2380  1 Ni 2.02, 1 Pa 2.18
O  0.0140  0.6448  0.7620  1 Ni 2.02, 1 Pa 2.18
O  0.3552  0.3692  0.7620  1 Ni 2.02, 1 Pa 2.18
O  0.3552  0.9860  0.2380  1 Ni 2.02, 1 Pa 2.18
O  0.6308  0.6448  0.2380  1 Ni 2.02, 1 Pa 2.18
O  0.6308  0.9860  0.7620  1 Ni 2.02, 1 Pa 2.18

12.
ThPaNiO6: relaxed, GGA+U.

As for the space group: P312 (149). The calculation puts the electronic total energy at -8.11 eV/atom. The value obtained for the mass density is 8.08 g/cm³.

Cell lengths 5.4687, 5.4687, 4.9021 Å; angles 90.00, 90.00, 120.00 degrees
With the nearest neighbours (Å) after each atom.
Fractional positions:
Th  0.0000  0.0000  0.0000  6 O 2.31
Pa  0.3333  0.6667  0.5000  6 O 2.21
Ni  0.6667  0.3333  0.0000  6 O 2.06
O  0.3692  0.0112  0.7618  1 Ni 2.06, 1 Pa 2.21, 1 Th 2.31
O  0.3692  0.3580  0.2382  1 Ni 2.06, 1 Pa 2.21, 1 Th 2.31
O  0.6420  0.0112  0.2382  1 Ni 2.06, 1 Pa 2.21, 1 Th 2.31
O  0.6420  0.6308  0.7618  1 Ni 2.06, 1 Pa 2.21, 1 Th 2.31
O  0.9888  0.3580  0.7618  1 Ni 2.06, 1 Pa 2.21, 1 Th 2.31
O  0.9888  0.6308  0.2382  1 Ni 2.06, 1 Pa 2.21, 1 Th 2.31